SrMnOs2O8: relaxed, GGA+U.

Cell: 5.8618 5.8618 7.0138 Å, 90.00 90.00 120.00°
Closest atoms and distances in Å follow each position.
Fractional positions:
O: 0.8382 0.1572 0.2941  1 Os 1.82
O: 0.1618 0.8428 0.7059  1 Os 1.82
O: 0.3333 0.6667 0.0245  1 Os 1.80
O: 0.1572 0.3190 0.7059  1 Os 1.82
O: 0.8428 0.6810 0.2941  1 Os 1.82
O: 0.6810 0.8382 0.7059  1 Os 1.82
O: 0.3190 0.1618 0.2941  1 Os 1.82
O: 0.6667 0.3333 0.9755  1 Os 1.80
Mn: 0.0000 0.0000 0.5000  6 O 2.17
Os: 0.3333 0.6667 0.7679  4 O 1.80-1.82
Os: 0.6667 0.3333 0.2321  4 O 1.80-1.82
Sr: 0.0000 0.0000 0.0000  6 O 2.62

Computed properties:
Size of the total moment in μB/atom: 0.75
Space-group type: P-3, No. 147
Electronic total energy in eV/atom: -7.257